Record 1
## Tb3Dy4Th (PBE)

Data for a relaxed structure of Tb3Dy4Th.

Calculated values
ΔH_f (0 K): 0.028 eV/atom
symmetry: No. 31
offset from the most stable computed form: 0.0000 eV per atom

Lattice parameters (Å, degrees): 6.2502 7.2328 11.3978 90.00 90.00 90.00
Last column: nearest neighbours and their distance in Å.
Fractional coordinates of all 16 atoms:
Dy (0.4873, 0.8734, 0.2510)  1 Th 3.51, 6 Dy 3.52-3.62, 5 Tb 3.53-3.68
Th (0.1491, 0.3761, 0.0000)  6 Dy 3.51-3.63, 6 Tb 3.51-3.61
Th (0.6491, 0.6239, 0.5000)  6 Dy 3.51-3.63, 6 Tb 3.51-3.61
Tb (0.9758, 0.6222, 0.7509)  4 Tb 3.51-3.59, 2 Th 3.51-3.52, 6 Dy 3.54-3.68
Dy (0.6474, 0.1292, 0.0000)  4 Tb 3.54-3.67, 6 Dy 3.54-3.64, 2 Th 3.59-3.61
Dy (0.9873, 0.1266, 0.7510)  1 Th 3.51, 6 Dy 3.52-3.62, 5 Tb 3.53-3.68
Tb (0.6467, 0.6219, 0.0000)  4 Tb 3.51-3.53, 6 Dy 3.53-3.67, 2 Th 3.58-3.61
Tb (0.1467, 0.3781, 0.5000)  4 Tb 3.51-3.53, 6 Dy 3.53-3.67, 2 Th 3.58-3.61
Dy (0.4873, 0.8734, 0.7490)  1 Th 3.51, 6 Dy 3.52-3.62, 5 Tb 3.53-3.68
Tb (0.4758, 0.3778, 0.2509)  4 Tb 3.51-3.59, 2 Th 3.51-3.52, 6 Dy 3.54-3.68
Dy (0.1459, 0.8744, 0.0000)  6 Dy 3.52-3.64, 4 Tb 3.54-3.62, 2 Th 3.60-3.63
Dy (0.6459, 0.1256, 0.5000)  6 Dy 3.52-3.64, 4 Tb 3.54-3.62, 2 Th 3.60-3.63
Tb (0.4758, 0.3778, 0.7491)  4 Tb 3.51-3.59, 2 Th 3.51-3.52, 6 Dy 3.54-3.68
Dy (0.9873, 0.1266, 0.2490)  1 Th 3.51, 6 Dy 3.52-3.62, 5 Tb 3.53-3.68
Tb (0.9758, 0.6222, 0.2491)  4 Tb 3.51-3.59, 2 Th 3.51-3.52, 6 Dy 3.54-3.68
Dy (0.1474, 0.8708, 0.5000)  4 Tb 3.54-3.67, 6 Dy 3.54-3.64, 2 Th 3.59-3.61

Record 2
## Tb12Dy5Th2 (PBE)

Data for a relaxed structure of Tb12Dy5Th2.

Calculated values
ΔH_f (0 K): 0.023 eV/atom
symmetry: No. 2
offset from the most stable computed form: 0.0000 eV per atom

Lattice parameters (Å, degrees): 6.1750 11.2618 15.5195 142.98 109.46 79.42
Last column: nearest neighbours and their distance in Å.
Fractional coordinates of all 19 atoms:
Dy (0.0000, 0.0000, 0.5000)  10 Tb 3.55-3.56, 2 Dy 3.55
Dy (0.1586, 0.7368, 0.1849)  10 Tb 3.54-3.59, 2 Dy 3.55-3.56
Tb (0.6849, 0.5250, 0.1317)  7 Tb 3.52-3.58, 4 Dy 3.56-3.57, 1 Th 3.57
Tb (0.6305, 0.9463, 0.2364)  7 Tb 3.55-3.59, 4 Dy 3.55-3.57, 1 Th 3.57
Tb (0.1042, 0.1563, 0.2861)  2 Th 3.51-3.53, 6 Tb 3.52-3.61, 4 Dy 3.55-3.61
Dy (0.5784, 0.3633, 0.3377)  2 Th 3.50-3.53, 9 Tb 3.52-3.61, 1 Dy 3.63
Dy (0.8414, 0.2632, 0.8151)  10 Tb 3.54-3.59, 2 Dy 3.55-3.56
Tb (0.5271, 0.7916, 0.4483)  7 Tb 3.53-3.59, 5 Dy 3.54-3.59
Tb (0.8958, 0.8437, 0.7139)  2 Th 3.51-3.53, 6 Tb 3.52-3.61, 4 Dy 3.55-3.61
Dy (0.4216, 0.6367, 0.6623)  2 Th 3.50-3.53, 9 Tb 3.52-3.61, 1 Dy 3.63
Th (0.2632, 0.8984, 0.9750)  8 Tb 3.49-3.57, 2 Dy 3.50-3.53, 2 Th 3.54
Tb (0.4729, 0.2084, 0.5517)  7 Tb 3.53-3.59, 5 Dy 3.54-3.59
Tb (0.7887, 0.6889, 0.9221)  3 Th 3.49-3.56, 3 Dy 3.52-3.59, 6 Tb 3.52-3.59
Tb (0.3151, 0.4750, 0.8683)  7 Tb 3.52-3.58, 4 Dy 3.56-3.57, 1 Th 3.57
Tb (0.0499, 0.5772, 0.3923)  7 Tb 3.52-3.61, 1 Th 3.55, 4 Dy 3.56-3.60
Tb (0.9501, 0.4228, 0.6077)  7 Tb 3.52-3.61, 1 Th 3.55, 4 Dy 3.56-3.60
Tb (0.3695, 0.0537, 0.7636)  7 Tb 3.55-3.59, 4 Dy 3.55-3.57, 1 Th 3.57
Th (0.7368, 0.1016, 0.0250)  8 Tb 3.49-3.57, 2 Dy 3.50-3.53, 2 Th 3.54
Tb (0.2113, 0.3111, 0.0779)  3 Th 3.49-3.56, 3 Dy 3.52-3.59, 6 Tb 3.52-3.59

Record 3
## TbDy3Th (PBE)

Data for a relaxed structure of TbDy3Th.

Calculated values
ΔH_f (0 K): 0.342 eV/atom
symmetry: No. 11
offset from the most stable computed form: 0.1489 eV per atom

Lattice parameters (Å, degrees): 3.5461 8.5065 11.6595 90.00 90.00 102.04
Last column: nearest neighbours and their distance in Å.
Fractional coordinates of all 10 atoms:
Th (0.9994, 0.4976, 0.7500)  2 Dy 3.30-3.31, 2 Tb 3.30-3.31, 2 Th 3.55
Tb (0.3332, 0.1671, 0.2500)  6 Dy 3.26-3.42, 2 Th 3.30-3.31, 2 Tb 3.55
Dy (0.6687, 0.8376, 0.2500)  2 Tb 3.26-3.27, 2 Th 3.30-3.31, 6 Dy 3.42-3.55
Th (0.0006, 0.5024, 0.2500)  2 Dy 3.30-3.31, 2 Tb 3.30-3.31, 2 Th 3.55
Tb (0.6668, 0.8329, 0.7500)  6 Dy 3.26-3.42, 2 Th 3.30-3.31, 2 Tb 3.55
Dy (0.8477, 0.1956, 0.5002)  6 Dy 3.42-3.71, 2 Tb 3.42
Dy (0.1523, 0.8044, 0.0002)  6 Dy 3.42-3.71, 2 Tb 3.42
Dy (0.3313, 0.1624, 0.7500)  2 Tb 3.26-3.27, 2 Th 3.30-3.31, 6 Dy 3.42-3.55
Dy (0.1523, 0.8044, 0.4998)  6 Dy 3.42-3.71, 2 Tb 3.42
Dy (0.8477, 0.1956, 0.9998)  6 Dy 3.42-3.71, 2 Tb 3.42

Record 4
## Tb2Dy4Th3 (PBE)

Data for a relaxed structure of Tb2Dy4Th3.

Calculated values
ΔH_f (0 K): 0.080 eV/atom
symmetry: No. 156

Lattice parameters (Å, degrees): 3.5582 3.5582 26.4740 90.00 90.00 120.00
Last column: nearest neighbours and their distance in Å.
Fractional coordinates of all 9 atoms:
Th (0.0000, 0.0000, 0.3231)  6 Dy 3.49-3.60, 6 Th 3.56
Dy (0.0000, 0.0000, 0.7627)  3 Tb 3.54, 6 Dy 3.56, 3 Th 3.56
Tb (0.6667, 0.3333, 0.0903)  1 Dy 3.34, 3 Th 3.50, 6 Tb 3.56
Tb (0.6667, 0.3333, 0.8714)  3 Dy 3.54, 6 Tb 3.56, 3 Th 3.60
Dy (0.6667, 0.3333, 0.2163)  1 Tb 3.34, 3 Th 3.49, 6 Dy 3.56
Dy (0.6667, 0.3333, 0.4347)  9 Dy 3.52-3.56, 3 Th 3.60
Dy (0.0000, 0.0000, 0.5427)  9 Dy 3.52-3.56, 3 Th 3.57
Th (0.0000, 0.0000, 0.9831)  6 Tb 3.50-3.60, 6 Th 3.56
Th (0.6667, 0.3333, 0.6528)  6 Th 3.56, 6 Dy 3.56-3.57

Record 5
## TbDy5Th3 (PBE)

Data for a relaxed structure of TbDy5Th3.

Calculated values
ΔH_f (0 K): 0.551 eV/atom
symmetry: No. 12

Lattice parameters (Å, degrees): 7.5157 7.5157 12.2728 84.75 84.75 66.37
Last column: nearest neighbours and their distance in Å.
Fractional coordinates of all 18 atoms:
Dy (0.7447, 0.7447, 0.0226)  2 Th 3.19-3.45, 2 Dy 3.43, 1 Tb 3.48
Tb (0.8620, 0.8620, 0.2666)  5 Dy 3.48-3.88, 3 Th 3.51-3.56
Th (0.0000, 0.0000, 0.0000)  2 Dy 2.70
Dy (0.0601, 0.6714, 0.7731)  2 Dy 3.20-3.21, 1 Th 3.43
Dy (0.9399, 0.3286, 0.2269)  2 Dy 3.20-3.21, 1 Th 3.43
Th (0.0000, 0.0000, 0.5000)  2 Th 3.26, 2 Tb 3.51
Dy (0.6721, 0.3279, 0.0000)  1 Th 2.70, 1 Dy 2.83
Th (0.3760, 0.3760, 0.2168)  1 Th 3.15, 6 Dy 3.16-3.45
Dy (0.3286, 0.9399, 0.2269)  2 Dy 3.20-3.21, 1 Th 3.43
Tb (0.1380, 0.1380, 0.7334)  5 Dy 3.48-3.88, 3 Th 3.51-3.56
Th (0.6240, 0.6240, 0.7832)  1 Th 3.15, 6 Dy 3.16-3.45
Dy (0.2553, 0.2553, 0.9774)  2 Th 3.19-3.45, 2 Dy 3.43, 1 Tb 3.48
Dy (0.3279, 0.6721, 0.0000)  1 Th 2.70, 1 Dy 2.83
Th (0.2607, 0.2607, 0.4576)  2 Th 3.15-3.26, 1 Dy 3.23
Dy (0.5557, 0.5557, 0.3773)  2 Th 3.16-3.23, 3 Dy 3.18-3.21
Dy (0.4443, 0.4443, 0.6227)  2 Th 3.16-3.23, 3 Dy 3.18-3.21
Dy (0.6714, 0.0601, 0.7731)  2 Dy 3.20-3.21, 1 Th 3.43
Th (0.7393, 0.7393, 0.5424)  2 Th 3.15-3.26, 1 Dy 3.23

Record 6
## Tb5Dy4Th (PBE)

Data for a relaxed structure of Tb5Dy4Th.

Calculated values
ΔH_f (0 K): 0.218 eV/atom
symmetry: No. 12
offset from the most stable computed form: 0.0000 eV per atom

Lattice parameters (Å, degrees): 3.5564 10.9844 9.0499 102.23 101.33 90.00
Last column: nearest neighbours and their distance in Å.
Fractional coordinates of all 10 atoms:
Th (0.5000, 0.0000, 0.0000)  6 Dy 3.31-3.54, 2 Th 3.56, 4 Tb 3.60
Tb (0.8409, 0.0783, 0.6818)  4 Dy 3.43-3.67, 4 Tb 3.56-3.76, 2 Th 3.60
Tb (0.5000, 0.5000, 0.0000)  4 Dy 3.29, 6 Tb 3.45-3.56
Tb (0.1591, 0.9217, 0.3182)  4 Dy 3.43-3.67, 4 Tb 3.56-3.76, 2 Th 3.60
Dy (0.6784, 0.2190, 0.3568)  4 Dy 3.37-3.56, 4 Tb 3.50-3.67, 1 Th 3.54
Tb (0.1690, 0.5194, 0.3381)  4 Dy 3.40-3.78, 6 Tb 3.45-3.56
Tb (0.8310, 0.4806, 0.6619)  4 Dy 3.40-3.78, 6 Tb 3.45-3.56
Dy (0.9757, 0.7408, 0.9514)  4 Tb 3.29-3.43, 2 Th 3.31, 4 Dy 3.37-3.56
Dy (0.0243, 0.2592, 0.0486)  4 Tb 3.29-3.43, 2 Th 3.31, 4 Dy 3.37-3.56
Dy (0.3216, 0.7810, 0.6432)  4 Dy 3.37-3.56, 4 Tb 3.50-3.67, 1 Th 3.54

Record 7
## Tb3Dy2Th3 (PBE)

Data for a relaxed structure of Tb3Dy2Th3.

Calculated values
ΔH_f (0 K): 0.043 eV/atom
symmetry: No. 47

Lattice parameters (Å, degrees): 5.0482 5.0222 10.0933 90.00 90.00 90.00
Last column: nearest neighbours and their distance in Å.
Fractional coordinates of all 8 atoms:
Tb (0.0000, 0.5000, 0.5000)  4 Tb 3.56, 4 Dy 3.57, 4 Th 3.58
Dy (0.0000, 0.0000, 0.2482)  6 Tb 3.55-3.58, 6 Th 3.56
Dy (0.0000, 0.0000, 0.7518)  6 Tb 3.55-3.58, 6 Th 3.56
Tb (0.0000, 0.5000, 0.0000)  4 Dy 3.55, 8 Th 3.56
Th (0.5000, 0.5000, 0.7509)  2 Th 3.55, 4 Dy 3.56, 6 Tb 3.56-3.58
Tb (0.5000, 0.0000, 0.5000)  4 Tb 3.56, 4 Th 3.57, 4 Dy 3.58
Th (0.5000, 0.0000, 0.0000)  4 Th 3.55, 4 Dy 3.56, 4 Tb 3.56
Th (0.5000, 0.5000, 0.2491)  2 Th 3.55, 4 Dy 3.56, 6 Tb 3.56-3.58

Record 8
## Tb7Dy16Th6 (PBE)

Data for a relaxed structure of Tb7Dy16Th6.

Calculated values
ΔH_f (0 K): 0.313 eV/atom
symmetry: No. 225

Lattice parameters (Å, degrees): 11.0562 11.0562 11.0562 60.00 60.00 60.00
Last column: nearest neighbours and their distance in Å.
Fractional coordinates of all 29 atoms:
Tb (0.0000, 0.0000, 0.5000)  8 Dy 3.20-3.43
Dy (0.8799, 0.8799, 0.3602)  4 Tb 3.25-3.43, 3 Dy 3.57
Dy (0.0254, 0.6582, 0.6582)  3 Tb 3.20, 3 Th 3.50, 3 Dy 3.57
Tb (0.5000, 0.5000, 0.0000)  8 Dy 3.20-3.43
Dy (0.1201, 0.1201, 0.1201)  4 Tb 3.25-3.43, 3 Dy 3.57
Dy (0.3418, 0.9746, 0.3418)  3 Tb 3.20, 3 Th 3.50, 3 Dy 3.57
Tb (0.0000, 0.5000, 0.0000)  8 Dy 3.20-3.43
Dy (0.1201, 0.6398, 0.1201)  4 Tb 3.25-3.43, 3 Dy 3.57
Dy (0.8799, 0.8799, 0.8799)  4 Tb 3.25-3.43, 3 Dy 3.57
Th (0.6696, 0.3304, 0.6696)  4 Dy 3.50, 4 Th 3.75
Th (0.3304, 0.3304, 0.6696)  4 Dy 3.50, 4 Th 3.75
Th (0.6696, 0.3304, 0.3304)  4 Dy 3.50, 4 Th 3.75
Th (0.3304, 0.6696, 0.3304)  4 Dy 3.50, 4 Th 3.75
Tb (0.0000, 0.5000, 0.5000)  8 Dy 3.20-3.43
Dy (0.6582, 0.6582, 0.6582)  3 Tb 3.20, 3 Th 3.50, 3 Dy 3.57
Dy (0.3602, 0.8799, 0.8799)  4 Tb 3.25-3.43, 3 Dy 3.57
Th (0.3304, 0.6696, 0.6696)  4 Dy 3.50, 4 Th 3.75
Dy (0.6582, 0.6582, 0.0254)  3 Tb 3.20, 3 Th 3.50, 3 Dy 3.57
Tb (0.0000, 0.0000, 0.0000)  8 Dy 3.25
Dy (0.8799, 0.3602, 0.8799)  4 Tb 3.25-3.43, 3 Dy 3.57
Dy (0.9746, 0.3418, 0.3418)  3 Tb 3.20, 3 Th 3.50, 3 Dy 3.57
Dy (0.3418, 0.3418, 0.3418)  3 Tb 3.20, 3 Th 3.50, 3 Dy 3.57
Tb (0.5000, 0.0000, 0.0000)  8 Dy 3.20-3.43
Dy (0.1201, 0.1201, 0.6398)  4 Tb 3.25-3.43, 3 Dy 3.57
Tb (0.5000, 0.0000, 0.5000)  8 Dy 3.20-3.43
Dy (0.3418, 0.3418, 0.9746)  3 Tb 3.20, 3 Th 3.50, 3 Dy 3.57
Th (0.6696, 0.6696, 0.3304)  4 Dy 3.50, 4 Th 3.75
Dy (0.6398, 0.1201, 0.1201)  4 Tb 3.25-3.43, 3 Dy 3.57
Dy (0.6582, 0.0254, 0.6582)  3 Tb 3.20, 3 Th 3.50, 3 Dy 3.57

Record 9
## Tb3Dy3Th2 (PBE)

Data for a relaxed structure of Tb3Dy3Th2.

Calculated values
ΔH_f (0 K): 0.024 eV/atom
symmetry: No. 71
offset from the most stable computed form: 0.0000 eV per atom

Lattice parameters (Å, degrees): 5.0341 5.0340 10.7131 103.61 103.59 90.00
Last column: nearest neighbours and their distance in Å.
Fractional coordinates of all 8 atoms:
Th (0.7501, 0.2501, 0.5002)  4 Tb 3.53, 4 Dy 3.53-3.54, 4 Th 3.56
Dy (0.5000, 0.0000, 0.0000)  8 Tb 3.56-3.60, 4 Dy 3.60
Th (0.2499, 0.7499, 0.4998)  4 Tb 3.53, 4 Dy 3.53-3.54, 4 Th 3.56
Tb (0.0000, 0.5000, 0.0000)  8 Dy 3.56-3.60, 4 Tb 3.60
Dy (0.3728, 0.3727, 0.7455)  4 Th 3.53-3.54, 6 Tb 3.56-3.60, 2 Dy 3.60
Dy (0.6272, 0.6273, 0.2545)  4 Th 3.53-3.54, 6 Tb 3.56-3.60, 2 Dy 3.60
Tb (0.8726, 0.8725, 0.7452)  4 Th 3.53, 6 Dy 3.56-3.60, 2 Tb 3.60
Tb (0.1274, 0.1275, 0.2548)  4 Th 3.53, 6 Dy 3.56-3.60, 2 Tb 3.60

Record 10
## Tb8DyTh2 (PBE)

Data for a relaxed structure of Tb8DyTh2.

Calculated values
ΔH_f (0 K): 0.199 eV/atom
symmetry: No. 12

Lattice parameters (Å, degrees): 5.6052 10.0898 10.0898 40.85 92.14 92.14
Last column: nearest neighbours and their distance in Å.
Fractional coordinates of all 11 atoms:
Tb (0.2364, 0.5470, 0.5470)  1 Tb 3.13, 1 Th 3.24
Tb (0.2627, 0.5991, 0.1391)  4 Tb 3.24-3.58, 2 Th 3.42-3.57, 1 Dy 3.49
Tb (0.2315, 0.1821, 0.1821)  4 Th 3.33-3.59, 4 Tb 3.47-3.58, 1 Dy 3.63
Tb (0.2627, 0.1391, 0.5991)  4 Tb 3.24-3.58, 2 Th 3.42-3.57, 1 Dy 3.49
Tb (0.7373, 0.8609, 0.4009)  4 Tb 3.24-3.58, 2 Th 3.42-3.57, 1 Dy 3.49
Th (0.2636, 0.7185, 0.7185)  9 Tb 3.24-3.59
Tb (0.7685, 0.8179, 0.8179)  4 Th 3.33-3.59, 4 Tb 3.47-3.58, 1 Dy 3.63
Tb (0.7636, 0.4530, 0.4530)  1 Tb 3.13, 1 Th 3.24
Th (0.7364, 0.2815, 0.2815)  9 Tb 3.24-3.59
Tb (0.7373, 0.4009, 0.8609)  4 Tb 3.24-3.58, 2 Th 3.42-3.57, 1 Dy 3.49
Dy (0.0000, 0.0000, 0.0000)  10 Tb 3.49-3.85

Record 11
## Tb5Dy3Th3 (PBE)

Data for a relaxed structure of Tb5Dy3Th3.

Calculated values
ΔH_f (0 K): 0.382 eV/atom
symmetry: No. 189

Lattice parameters (Å, degrees): 3.4324 11.1660 11.1660 120.00 90.00 90.00
Last column: nearest neighbours and their distance in Å.
Fractional coordinates of all 11 atoms:
Tb (0.5000, 0.6667, 0.3333)  5 Tb 3.43-3.68, 6 Th 3.81
Th (0.0000, 0.4039, 0.4039)  2 Dy 3.21, 2 Tb 3.33, 2 Th 3.43
Th (0.0000, 0.0000, 0.5961)  2 Dy 3.21, 2 Tb 3.33, 2 Th 3.43
Dy (0.5000, 0.0000, 0.8387)  4 Dy 3.12-3.43, 2 Th 3.21, 2 Tb 3.29
Tb (0.5000, 0.3333, 0.6667)  5 Tb 3.43-3.68, 6 Th 3.81
Dy (0.5000, 0.8387, 0.0000)  4 Dy 3.12-3.43, 2 Th 3.21, 2 Tb 3.29
Tb (0.5000, 0.0000, 0.3406)  2 Dy 3.29, 2 Th 3.33, 4 Tb 3.43-3.68
Tb (0.5000, 0.6594, 0.6594)  2 Dy 3.29, 2 Th 3.33, 4 Tb 3.43-3.68
Tb (0.5000, 0.3406, 0.0000)  2 Dy 3.29, 2 Th 3.33, 4 Tb 3.43-3.68
Th (0.0000, 0.5961, 0.0000)  2 Dy 3.21, 2 Tb 3.33, 2 Th 3.43
Dy (0.5000, 0.1613, 0.1613)  4 Dy 3.12-3.43, 2 Th 3.21, 2 Tb 3.29

Record 12
## Tb2DyTh (PBE)

Data for a relaxed structure of Tb2DyTh.

Calculated values
ΔH_f (0 K): 0.024 eV/atom
symmetry: No. 166
offset from the most stable computed form: 0.0158 eV per atom

Lattice parameters (Å, degrees): 3.5726 3.5726 11.7456 81.25 81.25 60.00
Last column: nearest neighbours and their distance in Å.
Fractional coordinates of all 4 atoms:
Tb (0.7512, 0.7512, 0.7464)  3 Th 3.52, 6 Tb 3.57, 3 Dy 3.59
Th (0.5000, 0.5000, 0.5000)  6 Tb 3.52, 6 Th 3.57
Tb (0.2488, 0.2488, 0.2536)  3 Th 3.52, 6 Tb 3.57, 3 Dy 3.59
Dy (0.0000, 0.0000, 0.0000)  6 Dy 3.57, 6 Tb 3.59

| no. | total DFT energy (no corrections) (eV per atom) | D(E_F) (states/eV/atom) |
| --- | --- | --- |
| 1 | -4.9364 | 1.8022 |
| 2 | -4.8938 | 1.4019 |
| 3 | -4.8291 | 1.3840 |
| 4 | -5.4675 | 2.0186 |
| 5 | -4.9937 | 1.5228 |
| 6 | -4.6804 | 1.4266 |
| 7 | -5.6262 | 1.4248 |
| 8 | -4.8786 | 1.8635 |
| 9 | -5.2932 | 1.0516 |
| 10 | -4.9362 | 1.5480 |
| 11 | -5.0011 | 1.9629 |
| 12 | -5.2969 | 1.4654 |